[1]
An optimized crystal structure of CoH2IrAu. Source: Alexandria, functional PBE.

Calculated values
**Total energy**: -4.61 eV per atom
**DOS at the Fermi energy**: 4.44 states/eV per cell

CIF file:
```
data_CoH2IrAu
_symmetry_space_group_name_H-M 'P 4/m m m'
_symmetry_Int_Tables_number 123
_symmetry_space_group_name_Hall '-P 4 2'
_cell_length_a 3.5384
_cell_length_b 3.5384
_cell_length_c 4.8074
_cell_angle_alpha 90.00
_cell_angle_beta 90.00
_cell_angle_gamma 90.00
loop_
_atom_site_label
_atom_site_fract_x
_atom_site_fract_y
_atom_site_fract_z
_atom_site_occupancy
Co1 0.0000 0.0000 0.0000 1
H1 0.0000 0.5000 0.5000 1
Ir1 0.0000 0.0000 0.5000 1
Au1 0.5000 0.5000 0.0000 1
```



[2]
An optimized crystal structure of SmDy2I8. Source: Alexandria, functional PBE.

Calculated values
**ΔE_f (raw)**: -1.224 eV/atom
**DOS at the Fermi energy**: 0.88 states/eV per cell

CIF file:
```
data_SmDy2I8
_symmetry_space_group_name_H-M 'C 1 2/m 1'
_symmetry_Int_Tables_number 12
_symmetry_space_group_name_Hall '-C 2y'
_cell_length_a 18.7665
_cell_length_b 9.0395
_cell_length_c 7.3644
_cell_angle_alpha 90.00
_cell_angle_beta 94.21
_cell_angle_gamma 90.00
loop_
_atom_site_label
_atom_site_fract_x
_atom_site_fract_y
_atom_site_fract_z
_atom_site_occupancy
Sm1 0.0000 0.0000 0.0000 1
Dy1 0.1457 0.0000 0.4028 1
I1 0.0638 0.2536 0.2545 1
I2 0.1449 0.0000 0.8041 1
I3 0.2090 0.5000 0.6776 1
```



[3]
An optimized crystal structure of YTeP. Source: Alexandria, functional PBE.

Calculated values
**ΔE_f (raw)**: -0.869 eV/atom
**DOS at the Fermi energy**: 1.92 states/eV per cell

CIF file:
```
data_YTeP
_symmetry_space_group_name_H-M 'I 4 m m'
_symmetry_Int_Tables_number 107
_symmetry_space_group_name_Hall 'I 4 -2'
_cell_length_a 3.8744
_cell_length_b 3.8744
_cell_length_c 10.5218
_cell_angle_alpha 90.00
_cell_angle_beta 90.00
_cell_angle_gamma 90.00
loop_
_atom_site_label
_atom_site_fract_x
_atom_site_fract_y
_atom_site_fract_z
_atom_site_occupancy
Y1 0.0000 0.0000 0.0000 1
Te1 0.0000 0.0000 0.3245 1
P1 0.0000 0.0000 0.5725 1
```



[4]
An optimized crystal structure of Ac8Ge4Se3. Source: Alexandria, functional PBE.

Calculated values
**ΔE_f (raw)**: -1.167 eV/atom
**DOS at the Fermi energy**: 11.82 states/eV per cell

CIF file:
```
data_Ac8Ge4Se3
_symmetry_space_group_name_H-M 'C 1 2/m 1'
_symmetry_Int_Tables_number 12
_symmetry_space_group_name_Hall '-C 2y'
_cell_length_a 12.8161
_cell_length_b 12.8658
_cell_length_c 9.0287
_cell_angle_alpha 90.00
_cell_angle_beta 134.53
_cell_angle_gamma 90.00
loop_
_atom_site_label
_atom_site_fract_x
_atom_site_fract_y
_atom_site_fract_z
_atom_site_occupancy
Ac1 0.0000 0.2439 0.0000 1
Ac2 0.0000 0.2530 0.5000 1
Ac3 0.2465 0.0000 0.4830 1
Ac4 0.2493 0.0000 0.0050 1
Ge1 0.0000 0.0000 0.0000 1
Ge2 0.0000 0.5000 0.5000 1
Ge3 0.2500 0.2500 0.0000 1
Se1 0.0000 0.0000 0.5000 1
Se2 0.2500 0.2500 0.5000 1
```



[5]
An optimized crystal structure of TlSnH2F8. Source: Alexandria, functional PBE.

Calculated values
**Total energy**: -4.25 eV per atom
**DOS at the Fermi energy**: 3.63 states/eV per cell

CIF file:
```
data_TlSnH2F8
_symmetry_space_group_name_H-M 'P -1'
_symmetry_Int_Tables_number 2
_symmetry_space_group_name_Hall '-P 1'
_cell_length_a 4.8591
_cell_length_b 5.0186
_cell_length_c 7.2894
_cell_angle_alpha 97.99
_cell_angle_beta 93.03
_cell_angle_gamma 105.26
loop_
_atom_site_label
_atom_site_fract_x
_atom_site_fract_y
_atom_site_fract_z
_atom_site_occupancy
Tl1 0.0000 0.0000 0.0000 1
Sn1 0.0000 0.0000 0.5000 1
H1 0.3009 0.5444 0.8337 1
F1 0.2072 0.2045 0.3011 1
F2 0.2222 0.2669 0.7403 1
F3 0.2590 0.7671 0.5051 1
F4 0.3481 0.7143 0.9339 1
```



[6]
An optimized crystal structure of Ni8IrRh6. Source: Alexandria, functional PBE.

Calculated values
**E above lowest polymorph**: 0.00 eV per formula unit
**Formation enthalpy at 0 K**: 151 meV/atom
**DOS at the Fermi energy**: 72.50 states/eV per cell

CIF file:
```
data_Ni8IrRh6
_symmetry_space_group_name_H-M 'R -3'
_symmetry_Int_Tables_number 148
_symmetry_space_group_name_Hall '-R 3'
_cell_length_a 6.5894
_cell_length_b 6.5894
_cell_length_c 15.5965
_cell_angle_alpha 90.00
_cell_angle_beta 90.00
_cell_angle_gamma 120.00
loop_
_atom_site_label
_atom_site_fract_x
_atom_site_fract_y
_atom_site_fract_z
_atom_site_occupancy
Ni1 0.0000 0.0000 0.0768 1
Ni2 0.0631 0.8085 0.6350 1
Ir1 0.0000 0.0000 0.5000 1
Rh1 0.0195 0.2484 0.2106 1
```



[7]
An optimized crystal structure of KBaLa2. Source: Alexandria, functional PBE.

Calculated values
**E above lowest polymorph**: 0.00 eV per formula unit
**Formation enthalpy at 0 K**: 155 meV/atom
**DOS at the Fermi energy**: 5.41 states/eV per cell

CIF file:
```
data_KBaLa2
_symmetry_space_group_name_H-M 'P 4 m m'
_symmetry_Int_Tables_number 99
_symmetry_space_group_name_Hall 'P 4 -2'
_cell_length_a 3.9260
_cell_length_b 3.9260
_cell_length_c 12.6064
_cell_angle_alpha 90.00
_cell_angle_beta 90.00
_cell_angle_gamma 90.00
loop_
_atom_site_label
_atom_site_fract_x
_atom_site_fract_y
_atom_site_fract_z
_atom_site_occupancy
K1 0.0000 0.0000 0.0000 1
Ba1 0.5000 0.5000 0.6953 1
La1 0.0000 0.0000 0.4568 1
La2 0.5000 0.5000 0.2714 1
```



[8]
An optimized crystal structure of HWAu. Source: Alexandria, functional PBE.

Calculated values
**E above lowest polymorph**: 0.94 eV per formula unit
**DOS at the Fermi energy**: 2.91 states/eV per cell

CIF file:
```
data_HWAu
_symmetry_space_group_name_H-M 'P n m a'
_symmetry_Int_Tables_number 62
_symmetry_space_group_name_Hall '-P 2ac 2n'
_cell_length_a 6.3976
_cell_length_b 3.3780
_cell_length_c 7.3232
_cell_angle_alpha 90.00
_cell_angle_beta 90.00
_cell_angle_gamma 90.00
loop_
_atom_site_label
_atom_site_fract_x
_atom_site_fract_y
_atom_site_fract_z
_atom_site_occupancy
H1 0.1513 0.2500 0.0848 1
W1 0.1365 0.7500 0.9506 1
Au1 0.0093 0.2500 0.6597 1
```